# Rb2FeF | Alexandria via LeMat-Bulk | PBE with a Hubbard U | relaxed
# Energy relative to the lowest polymorph listed for this composition in meV per atom: 587
# Total magnetic moment in μB/cell: 12.0
# Uncorrected energy in eV per atom: -2.459
data_Rb2FeF
_cell_length_a 8.1721
_cell_length_b 8.1721
_cell_length_c 8.1721
_cell_angle_alpha 90.00
_cell_angle_beta 90.00
_cell_angle_gamma 90.00
_space_group_name_H-M_alt 'F m -3 m'
_space_group_IT_number 225
_space_group_name_Hall '-F 4 2 3'
loop_
_atom_site_label
_atom_site_type_symbol
_atom_site_fract_x
_atom_site_fract_y
_atom_site_fract_z
Rb1 Rb 0.2500 0.2500 0.2500
Fe1 Fe 0.0000 0.0000 0.0000
F1 F 0.0000 0.0000 0.5000